The following is a PBE calculation of a relaxed RbNaLiCd2 crystal, from Alexandria.

Unit cell a=5.429 b=5.429 c=5.699 alpha=90.00 beta=90.00 gamma=90.00
Fractional coordinates of all 5 atoms:
Na  0.000  0.000  0.500
Cd  0.500  0.000  0.000
Cd  0.000  0.500  0.000
Rb  0.500  0.500  0.500
Li  0.000  0.000  0.000

Summary:
- energy of formation (kcal/mol of atoms) = 0.690
- space-group type = P4/mmm (123)
- crystal system = tetragonal
- size of the total moment (μB/cell) = 0.00